An optimized crystal structure of CsRbAgH3. Source: the Alexandria database, functional PBE.

* ρ: 3.31 Mg/m³
* E_tot: -30.62 eV per cell

a b c (Å): 4.5712 10.7294 7.5840
angles (deg): 117.48 90.00 90.00
Element x y z (fractional)
Ag: 0.2500 0.0167 0.6979
H: 0.7500 0.4899 0.2439
H: 0.7500 0.1609 0.4032
Rb: 0.7500 0.3400 0.8047
H: 0.2500 0.8391 0.5968
H: 0.2500 0.5101 0.7561
Rb: 0.2500 0.6600 0.1953
H: 0.7500 0.8053 0.1740
Ag: 0.7500 0.9833 0.3021
Cs: 0.7500 0.7091 0.7160
H: 0.2500 0.1947 0.8260
Cs: 0.2500 0.2909 0.2840


An optimized crystal structure of Zn3GeTe. Source: the Alexandria database, functional PBE.

* ρ: 4.62 Mg/m³
* E above lowest polymorph: 561 meV/atom
* E_form (uncorrected): 387 kJ/mol of formula units

a b c (Å): 5.2248 5.2248 5.2248
angles (deg): 90.00 90.00 90.00
Element x y z (fractional)
Zn: 0.5000 0.0000 0.0000
Zn: 0.0000 0.5000 0.0000
Zn: 0.0000 0.0000 0.5000
Te: 0.0000 0.0000 0.0000
Ge: 0.5000 0.5000 0.5000


An optimized crystal structure of Zn2H2Pt. Source: the Alexandria database, functional PBE.

* ρ: 9.73 Mg/m³
* E above lowest polymorph: 0 meV/atom

a b c (Å): 5.0579 5.0579 4.3732
angles (deg): 90.00 90.00 90.00
Element x y z (fractional)
Zn: 0.6825 0.8175 0.5000
H: 0.7403 0.7597 0.0000
H: 0.2597 0.2403 0.0000
H: 0.2403 0.7403 0.0000
Zn: 0.8175 0.3175 0.5000
Pt: 0.0000 0.0000 0.0000
Pt: 0.5000 0.5000 0.0000
Zn: 0.1825 0.6825 0.5000
H: 0.7597 0.2597 0.0000
Zn: 0.3175 0.1825 0.5000


An optimized crystal structure of Tm6AgC3. Source: the Alexandria database, functional PBE.

* ρ: 9.38 Mg/m³
* DFT formation energy: -0.3105 eV/atom

a b c (Å): 3.5582 10.7081 11.3304
angles (deg): 108.32 90.00 90.00
Element x y z (fractional)
Tm: 0.7500 0.1756 0.5637
Ag: 0.2500 0.3717 0.1119
C: 0.7500 0.7403 0.2879
C: 0.2500 0.0416 0.1444
C: 0.2500 0.2597 0.7121
Tm: 0.7500 0.3531 0.8600
Tm: 0.2500 0.8244 0.4363
Tm: 0.2500 0.0539 0.7638
Tm: 0.2500 0.4606 0.6180
Tm: 0.7500 0.1353 0.0493
Tm: 0.2500 0.6469 0.1400
Tm: 0.7500 0.5394 0.3820
Tm: 0.7500 0.7563 0.6692
C: 0.2500 0.6525 0.5319
C: 0.7500 0.9584 0.8556
C: 0.7500 0.3475 0.4681
Ag: 0.7500 0.6283 0.8881
Tm: 0.2500 0.2437 0.3308
Tm: 0.7500 0.9461 0.2362
Tm: 0.2500 0.8647 0.9507


An optimized crystal structure of Ba2HfF2. Source: the Alexandria database, functional PBE.

* ρ: 6.15 Mg/m³
* E above lowest polymorph: 457 meV/atom
* E_form (uncorrected): -581 kJ/mol of formula units

a b c (Å): 8.9570 8.9570 3.3034
angles (deg): 90.00 90.00 90.00
Site moments in Bohr magnetons follow the coordinates.
Element x y z (fractional)
F: 0.8995 0.3995 0.5000  0.01
Ba: 0.8510 0.6490 0.0000  0.10
F: 0.1005 0.6005 0.5000  0.01
Ba: 0.1490 0.3510 0.0000  0.11
Hf: 0.0000 0.0000 0.0000  0.82
F: 0.3995 0.1005 0.5000  0.02
Hf: 0.5000 0.5000 0.0000  0.82
F: 0.6005 0.8995 0.5000  0.02
Ba: 0.6490 0.1490 0.0000  0.10
Ba: 0.3510 0.8510 0.0000  0.10


An optimized crystal structure of ReCOF2. Source: the Alexandria database, functional PBE.

* ρ: 7.44 Mg/m³
* E above lowest polymorph: 604 meV/atom
* E_form (uncorrected): 450 kJ/mol of formula units

a b c (Å): 4.7827 4.7827 2.4624
angles (deg): 90.00 90.00 90.00
Site moments in Bohr magnetons follow the coordinates.
Element x y z (fractional)
F: 0.0000 0.5000 0.0000  0.02
F: 0.5000 0.0000 0.0000  0.02
O: 0.0000 0.0000 0.5000  0.00
Re: 0.5000 0.5000 0.5000  1.85
C: 0.0000 0.0000 0.0000  -0.05